Version A
A plane-wave DFT calculation with PBE was carried out for crystalline ScNiMo3 at its relaxed geometry.

Cell lengths 4.543, 4.543, 4.543 Å; angles 90.00, 90.00, 90.00 degrees
Positions (direct):
Mo1 0.500 0.000 0.000
Mo2 0.000 0.500 0.000
Sc1 0.500 0.500 0.500
Ni1 0.000 0.000 0.000
Mo3 0.000 0.000 0.500

Properties
Volume, Å³/cell: 93.8
Density of states at the Fermi level, states/eV per atom: 1.71

***

Version B
A plane-wave DFT calculation with PBE was carried out for crystalline ScNiMo3 at its relaxed geometry.

Cell lengths 4.532, 4.532, 4.532 Å; angles 90.00, 90.00, 90.00 degrees
Positions (direct):
Mo1 0.500 0.000 0.000
Mo2 0.000 0.000 0.500
Sc1 0.000 0.000 0.000
Ni1 0.500 0.500 0.500
Mo3 0.000 0.500 0.000

Properties
Volume, Å³/cell: 93.1
Density of states at the Fermi level, states/eV per atom: 1.20

***

Unit: eV/atom. Relative energies: version A 0.000; version B 1.112.

***

Version A
A plane-wave DFT calculation with PBE was carried out for crystalline SiNiMo at its relaxed geometry.

Cell lengths 3.610, 6.108, 10.521 Å; angles 89.44, 90.00, 90.00 degrees
Positions (direct):
Ni1 0.750 0.009 0.915
Ni2 0.750 0.638 0.797
Si1 0.250 0.732 0.248
Si2 0.750 0.232 0.088
Mo1 0.250 0.977 0.710
Ni3 0.250 0.991 0.085
Mo2 0.250 0.357 0.920
Si3 0.250 0.768 0.912
Si4 0.750 0.766 0.584
Mo3 0.750 0.023 0.290
Mo4 0.750 0.527 0.379
Ni4 0.750 0.148 0.540
Ni5 0.250 0.362 0.203
Si5 0.750 0.268 0.752
Mo5 0.750 0.643 0.080
Si6 0.250 0.234 0.416
Ni6 0.250 0.852 0.460
Mo6 0.250 0.473 0.621

Properties
Volume, Å³/cell: 232.0
Density of states at the Fermi level, states/eV per atom: 0.83

***

Version B
A plane-wave DFT calculation with PBE was carried out for crystalline SiNiMo at its relaxed geometry.

Cell lengths 5.142, 5.142, 2.850 Å; angles 73.91, 73.91, 32.18 degrees
Positions (direct):
Si1 0.314 0.314 0.686
Mo1 0.998 0.998 0.002
Ni1 0.688 0.688 0.312

Properties
Volume, Å³/cell: 38.4
Density of states at the Fermi level, states/eV per atom: 0.96

***

Unit: eV/atom. Relative energies: version A 0.000; version B 0.263.

***

Version A
A plane-wave DFT calculation with PBE was carried out for crystalline SiNiMo at its relaxed geometry.

Cell lengths 4.076, 4.076, 4.076 Å; angles 60.00, 60.00, 60.00 degrees
Positions (direct):
Ni1 0.000 0.000 0.000
Mo1 0.750 0.750 0.750
Si1 0.500 0.500 0.500

Properties
Volume, Å³/cell: 47.9
Density of states at the Fermi level, states/eV per atom: 1.57

***

Version B
A plane-wave DFT calculation with PBE was carried out for crystalline SiNiMo at its relaxed geometry.

Cell lengths 4.021, 4.021, 2.787 Å; angles 90.00, 90.00, 120.00 degrees
Positions (direct):
Ni1 0.667 0.333 0.500
Si1 0.333 0.667 0.500
Mo1 0.000 0.000 0.000

Properties
Volume, Å³/cell: 39.0
Density of states at the Fermi level, states/eV per atom: 1.24

***

Unit: eV/atom. Relative energies: version A 0.630; version B 0.000.

***

Version A
A plane-wave DFT calculation with PBE was carried out for crystalline SiNiMo at its relaxed geometry.

Cell lengths 3.967, 3.967, 3.967 Å; angles 60.00, 60.00, 60.00 degrees
Positions (direct):
Ni1 0.750 0.750 0.750
Si1 0.000 0.000 0.000
Mo1 0.500 0.500 0.500

Properties
Volume, Å³/cell: 44.2
Density of states at the Fermi level, states/eV per atom: 0.82

***

Version B
A plane-wave DFT calculation with PBE was carried out for crystalline SiNiMo at its relaxed geometry.

Cell lengths 4.715, 4.715, 7.691 Å; angles 90.00, 90.00, 118.08 degrees
Positions (direct):
Ni1 0.167 0.350 0.000
Mo1 0.659 0.341 0.806
Si1 0.842 0.646 0.500
Ni2 0.165 0.835 0.000
Mo2 0.659 0.341 0.194
Mo3 0.336 0.664 0.313
Si2 0.990 0.010 0.231
Si3 0.354 0.158 0.500
Mo4 0.336 0.664 0.687
Ni3 0.650 0.833 0.000
Si4 0.990 0.010 0.769
Ni4 0.851 0.149 0.500

Properties
Volume, Å³/cell: 150.8
Density of states at the Fermi level, states/eV per atom: 0.75

***

Version C
A plane-wave DFT calculation with PBE was carried out for crystalline SiNiMo at its relaxed geometry.

Cell lengths 2.733, 2.733, 6.156 Å; angles 90.00, 90.00, 120.00 degrees
Positions (direct):
Si1 0.333 0.667 0.646
Ni1 0.667 0.333 0.354
Mo1 0.000 0.000 0.000

Properties
Volume, Å³/cell: 39.8
Density of states at the Fermi level, states/eV per atom: 0.57

***

Unit: eV/atom. Relative energies: version A 0.371; version B 0.000; version C 0.269.

***

Version A
A plane-wave DFT calculation with PBE was carried out for crystalline SiNi3Mo at its relaxed geometry.

Cell lengths 4.481, 4.481, 4.481 Å; angles 90.00, 90.00, 90.00 degrees
Positions (direct):
Si1 0.500 0.500 0.500
Ni1 0.000 0.500 0.000
Ni2 0.500 0.000 0.000
Ni3 0.000 0.000 0.500
Mo1 0.000 0.000 0.000

Properties
Volume, Å³/cell: 90.0
Density of states at the Fermi level, states/eV per atom: 1.04

***

Version B
A plane-wave DFT calculation with PBE was carried out for crystalline SiNi3Mo at its relaxed geometry.

Cell lengths 4.155, 4.155, 4.155 Å; angles 90.00, 90.00, 90.00 degrees
Positions (direct):
Ni1 0.000 0.500 0.000
Ni2 0.000 0.000 0.500
Ni3 0.500 0.000 0.000
Mo1 0.500 0.500 0.500
Si1 0.000 0.000 0.000

Properties
Volume, Å³/cell: 71.7
Density of states at the Fermi level, states/eV per atom: 1.12

***

Unit: eV/atom. Relative energies: version A 0.841; version B 0.000.

***

Version A
A plane-wave DFT calculation with PBE was carried out for crystalline SiNi3Mo2 at its relaxed geometry.

Cell lengths 4.755, 4.755, 7.548 Å; angles 90.00, 90.00, 120.00 degrees
Positions (direct):
Mo1 0.333 0.667 0.436
Ni1 0.339 0.169 0.250
Si1 0.000 0.000 0.000
Ni2 0.169 0.831 0.750
Ni3 0.661 0.831 0.750
Ni4 0.831 0.661 0.250
Ni5 0.831 0.169 0.250
Si2 0.000 0.000 0.500
Mo2 0.667 0.333 0.564
Ni6 0.169 0.339 0.750
Mo3 0.667 0.333 0.936
Mo4 0.333 0.667 0.064

Properties
Volume, Å³/cell: 147.8
Density of states at the Fermi level, states/eV per atom: 1.24

***

Version B
A plane-wave DFT calculation with PBE was carried out for crystalline SiNi3Mo2 at its relaxed geometry.

Cell lengths 4.727, 4.727, 7.602 Å; angles 90.00, 90.00, 119.14 degrees
Positions (direct):
Mo1 0.335 0.665 0.683
Mo2 0.335 0.665 0.317
Ni1 0.830 0.663 0.500
Si1 0.666 0.828 0.000
Ni2 0.829 0.171 0.500
Ni3 0.183 0.817 0.000
Mo3 0.663 0.337 0.189
Si2 0.172 0.334 0.000
Ni4 0.993 0.007 0.759
Ni5 0.993 0.007 0.241
Mo4 0.663 0.337 0.811
Ni6 0.337 0.170 0.500

Properties
Volume, Å³/cell: 148.4
Density of states at the Fermi level, states/eV per atom: 0.92

***

Unit: eV/atom. Relative energies: version A 0.000; version B 0.068.

***

Version A
A plane-wave DFT calculation with PBE was carried out for crystalline SrNiMo at its relaxed geometry.

Cell lengths 4.023, 4.023, 10.176 Å; angles 90.00, 90.00, 120.00 degrees
Positions (direct):
Sr1 0.000 0.000 0.000
Sr2 0.000 0.000 0.500
Ni1 0.667 0.333 0.250
Mo1 0.667 0.333 0.750
Mo2 0.333 0.667 0.250
Ni2 0.333 0.667 0.750

Properties
Volume, Å³/cell: 142.6
Density of states at the Fermi level, states/eV per atom: 0.62

***

Version B
A plane-wave DFT calculation with PBE was carried out for crystalline SrNiMo at its relaxed geometry.

Cell lengths 5.324, 4.316, 10.902 Å; angles 90.00, 90.00, 90.00 degrees
Positions (direct):
Mo1 0.056 0.250 0.828
Ni1 0.556 0.750 0.551
Ni2 0.444 0.250 0.449
Mo2 0.944 0.750 0.172
Mo3 0.444 0.750 0.328
Sr1 0.435 0.250 0.125
Sr2 0.935 0.250 0.375
Ni3 0.944 0.250 0.051
Sr3 0.565 0.750 0.875
Mo4 0.556 0.250 0.672
Ni4 0.056 0.750 0.949
Sr4 0.065 0.750 0.625

Properties
Volume, Å³/cell: 250.5
Density of states at the Fermi level, states/eV per atom: 0.89

***

Version C
A plane-wave DFT calculation with PBE was carried out for crystalline SrNiMo at its relaxed geometry.

Cell lengths 4.647, 4.647, 4.647 Å; angles 60.00, 60.00, 60.00 degrees
Positions (direct):
Ni1 0.500 0.500 0.500
Sr1 0.750 0.750 0.750
Mo1 0.250 0.250 0.250

Properties
Volume, Å³/cell: 71.0
Density of states at the Fermi level, states/eV per atom: 1.08

***

Version D
A plane-wave DFT calculation with PBE was carried out for crystalline SrNiMo at its relaxed geometry.

Cell lengths 11.658, 5.064, 4.351 Å; angles 90.00, 90.00, 90.00 degrees
Positions (direct):
Ni1 0.550 0.750 0.000
Mo1 0.500 0.000 0.500
Ni2 0.050 0.750 0.500
Mo2 0.000 0.500 0.000
Ni3 0.950 0.250 0.500
Mo3 0.500 0.500 0.500
Sr1 0.792 0.750 0.500
Sr2 0.208 0.250 0.500
Mo4 0.000 0.000 0.000
Sr3 0.708 0.250 0.000
Ni4 0.450 0.250 0.000
Sr4 0.292 0.750 0.000

Properties
Volume, Å³/cell: 256.9
Density of states at the Fermi level, states/eV per atom: 0.84

***

Unit: eV/atom. Relative energies: version A 0.307; version B 0.259; version C 0.834; version D 0.000.

***

Version A
A plane-wave DFT calculation with PBE was carried out for crystalline SrNiMo at its relaxed geometry.

Cell lengths 12.076, 3.238, 3.314 Å; angles 89.96, 91.91, 89.85 degrees
Positions (direct):
Sr1 0.498 0.545 0.689
Sr2 0.806 0.051 0.212
Mo1 0.215 0.546 0.648
Mo2 0.088 0.048 0.251
Ni1 0.316 0.045 0.173
Ni2 0.988 0.549 0.727

Properties
Volume, Å³/cell: 129.5
Density of states at the Fermi level, states/eV per atom: 0.83

***

Version B
A plane-wave DFT calculation with PBE was carried out for crystalline SrNiMo at its relaxed geometry.

Cell lengths 6.302, 3.589, 6.183 Å; angles 89.99, 108.90, 106.55 degrees
Positions (direct):
Ni1 0.232 0.950 0.537
Ni2 0.072 0.370 0.755
Mo1 0.227 0.948 0.052
Mo2 0.076 0.372 0.241
Sr1 0.604 0.637 0.874
Sr2 0.700 0.683 0.419

Properties
Volume, Å³/cell: 126.2
Density of states at the Fermi level, states/eV per atom: 0.54

***

Unit: eV/atom. Relative energies: version A 0.000; version B 0.120.

***

Version A
A plane-wave DFT calculation with PBE was carried out for crystalline SrNiMo at its relaxed geometry.

Cell lengths 6.456, 6.456, 3.197 Å; angles 75.67, 75.67, 28.67 degrees
Positions (direct):
Mo1 0.957 0.957 0.043
Ni1 0.371 0.371 0.629
Sr1 0.672 0.672 0.328

Properties
Volume, Å³/cell: 61.8
Density of states at the Fermi level, states/eV per atom: 1.17

***

Version B
A plane-wave DFT calculation with PBE was carried out for crystalline SrNiMo at its relaxed geometry.

Cell lengths 4.789, 4.789, 4.789 Å; angles 60.00, 60.00, 60.00 degrees
Positions (direct):
Ni1 0.500 0.500 0.500
Sr1 0.750 0.750 0.750
Mo1 0.000 0.000 0.000

Properties
Volume, Å³/cell: 77.7
Density of states at the Fermi level, states/eV per atom: 0.94

***

Unit: eV/atom. Relative energies: version A 0.000; version B 1.337.

***

Version A
A plane-wave DFT calculation with PBE was carried out for crystalline SrNiMo at its relaxed geometry.

Cell lengths 5.487, 5.487, 8.891 Å; angles 90.00, 90.00, 120.00 degrees
Positions (direct):
Mo1 0.000 0.000 0.750
Mo2 0.000 0.000 0.250
Ni1 0.000 0.000 0.500
Sr1 0.333 0.667 0.250
Sr2 0.667 0.333 0.750
Ni2 0.000 0.000 0.000

Properties
Volume, Å³/cell: 231.8
Density of states at the Fermi level, states/eV per atom: 1.16

***

Version B
A plane-wave DFT calculation with PBE was carried out for crystalline SrNiMo at its relaxed geometry.

Cell lengths 6.221, 3.681, 6.686 Å; angles 105.99, 82.54, 72.81 degrees
Positions (direct):
Mo1 0.027 0.033 0.404
Ni1 0.217 0.726 0.980
Sr1 0.508 0.893 0.607
Ni2 0.087 0.624 0.646
Mo2 0.277 0.317 0.222
Sr2 0.796 0.456 0.019

Properties
Volume, Å³/cell: 136.8
Density of states at the Fermi level, states/eV per atom: 0.98

***

Version C
A plane-wave DFT calculation with PBE was carried out for crystalline SrNiMo at its relaxed geometry.

Cell lengths 10.278, 3.721, 4.440 Å; angles 65.25, 79.96, 89.82 degrees
Positions (direct):
Mo1 0.197 0.212 0.227
Mo2 0.292 0.514 0.621
Sr1 0.988 0.876 0.902
Ni1 0.373 0.849 0.949
Sr2 0.620 0.514 0.615
Ni2 0.434 0.167 0.313

Properties
Volume, Å³/cell: 151.4
Density of states at the Fermi level, states/eV per atom: 1.26

***

Version D
A plane-wave DFT calculation with PBE was carried out for crystalline SrNiMo at its relaxed geometry.

Cell lengths 4.773, 4.773, 2.978 Å; angles 90.00, 90.00, 120.00 degrees
Positions (direct):
Sr1 0.333 0.667 0.667
Mo1 0.000 0.000 0.166
Ni1 0.667 0.333 0.167

Properties
Volume, Å³/cell: 58.8
Density of states at the Fermi level, states/eV per atom: 1.37

***

Unit: eV/atom. Relative energies: version A 1.376; version B 0.000; version C 0.011; version D 0.671.